Record 1
A plane-wave DFT calculation with PBE was carried out for a geometry-optimized ZnHg2Sb structure.

Results
density = 9.82 g cm⁻³
excess energy over the best structure of this formula in the dataset = 31.8 meV/atom
formation energy (no corrections) = 111 meV/atom

```
ZnHg2Sb
1.0
5.774 -2.045 0.000
5.774 2.045 0.000
-0.465 0.000 4.212
Zn Hg Sb
1 2 1
Cartesian
0.000 0.000 0.000 Zn
2.568 0.000 1.031 Hg
8.516 0.000 3.180 Hg
5.542 0.000 2.106 Sb
```

Record 2
A plane-wave DFT calculation with PBE was carried out for a geometry-optimized LaCrCl2 structure.

Results
density = 4.63 g cm⁻³
excess energy over the best structure of this formula in the dataset = 156.9 meV/atom
formation energy (no corrections) = -726 meV/atom

```
LaCrCl2
1.0
3.767 0.000 0.000
0.000 4.370 0.000
0.000 0.000 5.702
La Cr Cl
1 1 2
Cartesian
0.000 0.000 0.000 La
1.883 0.000 2.851 Cr
0.000 2.185 2.851 Cl
1.883 2.185 0.000 Cl
```

Record 3
A plane-wave DFT calculation with PBE was carried out for a geometry-optimized UCd2Pd8 structure.

Results
formation enthalpy at 0 K = -0.33 eV/atom
density = 11.62 g cm⁻³

```
UCd2Pd8
1.0
5.006 0.000 0.000
-0.673 4.983 0.000
-0.454 -0.969 7.529
U Cd Pd
1 2 8
Cartesian
0.000 0.000 0.000 U
1.548 0.249 5.328 Cd
2.331 3.765 2.201 Cd
-0.115 2.600 1.370 Pd
0.570 0.159 2.642 Pd
0.658 2.631 4.123 Pd
1.429 2.753 6.861 Pd
2.450 1.261 0.668 Pd
3.220 1.383 3.406 Pd
3.309 3.855 4.887 Pd
3.993 1.414 6.159 Pd
```

Record 4
A plane-wave DFT calculation with PBE was carried out for a geometry-optimized Tl2TePbW structure.

Results
density = 7.10 g cm⁻³
formation energy (no corrections) = 1619 meV/atom

```
Tl2TePbW
1.0
5.970 0.000 0.000
0.000 5.970 0.000
0.000 0.000 6.082
Tl Te Pb W
2 1 1 1
Cartesian
0.000 2.985 0.000 Tl
2.985 0.000 0.000 Tl
0.000 0.000 0.000 Te
0.000 0.000 3.041 Pb
2.985 2.985 3.041 W
```